# 1
First-principles (PBE) data for a relaxed Tl2AsCl4 crystal, as listed in the Alexandria database.

## Properties
D(E_F) ... 0.3398 states/eV per atom
Energy relative to the elements, uncorrected ... -0.70 eV/atom

abc: 5.3339 5.3339 15.4809
angles: 90.00 90.00 90.00
Closest atoms and distances in Å follow each position.
Space group I4/mmm (No. 139)
One atom of each set of equivalent atoms:
Tl (0.0000, 0.0000, 0.1356)  5 Cl 3.11-3.39
As (0.0000, 0.0000, 0.5000)  6 Cl 2.53-2.67
Cl (0.0000, 0.0000, 0.3365)  1 As 2.53
Cl (0.0000, 0.5000, 0.0000)  2 As 2.67


# 2
First-principles (PBE) data for a relaxed TlAs4Cl crystal, as listed in the Alexandria database.

## Properties
Energy relative to the elements, uncorrected ... -0.11 eV/atom

abc: 8.8425 8.8425 8.8425
angles: 90.00 90.00 90.00
Closest atoms and distances in Å follow each position.
Space group F-43m (No. 216)
One atom of each set of equivalent atoms:
Tl (0.0000, 0.0000, 0.0000)  12 As 3.76, 4 Cl 3.83
As (0.0985, 0.0985, 0.5985)  3 As 2.46
Cl (0.2500, 0.2500, 0.2500)  12 As 3.62, 4 Tl 3.83